The following is a PBE-GGA calculation of U2AlFe5B2 after structural relaxation, from Alexandria via LeMat-Bulk.

As for the total energy: -8.5684 eV per atom. The calculation puts the density of states at the Fermi level at 5.782 states/eV/f.u. Its space group is P4/mbm (127). Its crystal system is tetragonal. The formation energy is -0.3696 eV per atom. The value obtained for the volume is 12.10 A^3/atom.

a b c (Å): 3.005 8.973 8.973
angles (deg): 90.00 90.00 90.00
Site moments in Bohr magnetons follow the coordinates.
Fractional coordinates of all 20 atoms:
U  0.000  0.678  0.178  -0.86
U  0.000  0.322  0.822  -0.86
U  0.000  0.178  0.322  -0.86
U  0.000  0.822  0.678  -0.86
Al  0.000  0.000  0.000  -0.01
Al  0.000  0.500  0.500  -0.01
Fe  0.500  0.224  0.071  0.40
Fe  0.500  0.776  0.929  0.40
Fe  0.500  0.071  0.776  0.40
Fe  0.500  0.724  0.429  0.40
Fe  0.500  0.929  0.224  0.40
Fe  0.500  0.276  0.571  0.40
Fe  0.500  0.571  0.724  0.40
Fe  0.500  0.429  0.276  0.40
Fe  0.500  0.500  0.000  0.21
Fe  0.500  0.000  0.500  0.21
B  0.000  0.119  0.619  -0.02
B  0.000  0.881  0.381  -0.02
B  0.000  0.619  0.881  -0.02
B  0.000  0.381  0.119  -0.02